Record 1
# ScPb2W GGA-PBEsol relaxed
data_ScPb2W
_chemical_formula_sum 'Sc1 Pb2 W1'
_space_group_name_H-M_alt 'P 1'
_space_group_IT_number 1
_cell_length_a 3.181
_cell_length_b 3.181
_cell_length_c 10.627
_cell_angle_alpha 81.39
_cell_angle_beta 81.39
_cell_angle_gamma 60.00
loop_
_space_group_symop_operation_xyz
'x,y,z'
loop_
_atom_site_label
_atom_site_type_symbol
_atom_site_fract_x
_atom_site_fract_y
_atom_site_fract_z
Pb1 Pb 0.757 0.757 0.730
Pb2 Pb 0.989 0.989 0.034
Sc1 Sc 0.510 0.510 0.471
W1 W 0.245 0.245 0.265
# Calculated density ... 11.65 Mg/m³
# E above lowest polymorph ... 0 meV per atom
# SG ... No. 160
# E_tot ... -6.6693 eV per atom
# DOS at the Fermi energy ... 3.56 states/eV/f.u.
# Crystal system ... trigonal


Record 2
# YScPb2 GGA-PBEsol relaxed
data_YScPb2
_chemical_formula_sum 'Y1 Sc1 Pb2'
_space_group_name_H-M_alt 'P 1'
_space_group_IT_number 1
_cell_length_a 3.432
_cell_length_b 4.258
_cell_length_c 6.870
_cell_angle_alpha 90.00
_cell_angle_beta 90.22
_cell_angle_gamma 90.00
loop_
_space_group_symop_operation_xyz
'x,y,z'
loop_
_atom_site_label
_atom_site_type_symbol
_atom_site_fract_x
_atom_site_fract_y
_atom_site_fract_z
Sc1 Sc 0.500 0.500 0.000
Pb1 Pb 0.000 0.000 0.237
Pb2 Pb 0.000 0.000 0.763
Y1 Y 0.500 0.500 0.500
# Calculated density ... 9.07 Mg/m³
# SG ... No. 10
# E_tot ... -5.8031 eV per atom
# DOS at the Fermi energy ... 4.20 states/eV/f.u.
# Crystal system ... monoclinic


Record 3
# YSc2Pb GGA-PBEsol relaxed
data_YSc2Pb
_chemical_formula_sum 'Y1 Sc2 Pb1'
_space_group_name_H-M_alt 'P 1'
_space_group_IT_number 1
_cell_length_a 3.455
_cell_length_b 4.339
_cell_length_c 6.606
_cell_angle_alpha 90.00
_cell_angle_beta 90.00
_cell_angle_gamma 90.00
loop_
_space_group_symop_operation_xyz
'x,y,z'
loop_
_atom_site_label
_atom_site_type_symbol
_atom_site_fract_x
_atom_site_fract_y
_atom_site_fract_z
Sc1 Sc 0.000 0.000 0.743
Sc2 Sc 0.000 0.000 0.257
Pb1 Pb 0.500 0.500 0.500
Y1 Y 0.500 0.500 0.000
# Calculated density ... 6.47 Mg/m³
# SG ... No. 47
# E_tot ... -6.2134 eV per atom
# DOS at the Fermi energy ... 6.27 states/eV/f.u.
# Crystal system ... orthorhombic


Record 4
# YSc2Pb GGA-PBEsol relaxed
data_YSc2Pb
_chemical_formula_sum 'Y1 Sc2 Pb1'
_space_group_name_H-M_alt 'P 1'
_space_group_IT_number 1
_cell_length_a 3.389
_cell_length_b 3.389
_cell_length_c 10.554
_cell_angle_alpha 80.76
_cell_angle_beta 80.76
_cell_angle_gamma 60.00
loop_
_space_group_symop_operation_xyz
'x,y,z'
loop_
_atom_site_label
_atom_site_type_symbol
_atom_site_fract_x
_atom_site_fract_y
_atom_site_fract_z
Sc1 Sc 0.747 0.747 0.759
Sc2 Sc 0.000 0.000 0.001
Pb1 Pb 0.253 0.253 0.241
Y1 Y 0.500 0.500 0.499
# Calculated density ... 6.21 Mg/m³
# SG ... No. 160
# E_tot ... -6.1455 eV per atom
# DOS at the Fermi energy ... 4.37 states/eV/f.u.
# Crystal system ... trigonal


Record 5
# YScPb GGA-PBEsol relaxed
data_YScPb
_chemical_formula_sum 'Y1 Sc1 Pb1'
_space_group_name_H-M_alt 'P 1'
_space_group_IT_number 1
_cell_length_a 3.522
_cell_length_b 3.522
_cell_length_c 6.755
_cell_angle_alpha 105.11
_cell_angle_beta 105.11
_cell_angle_gamma 90.00
loop_
_space_group_symop_operation_xyz
'x,y,z'
loop_
_atom_site_label
_atom_site_type_symbol
_atom_site_fract_x
_atom_site_fract_y
_atom_site_fract_z
Pb1 Pb 0.993 0.993 0.986
Y1 Y 0.664 0.664 0.328
Sc1 Sc 0.343 0.343 0.686
# Calculated density ... 7.27 Mg/m³
# SG ... No. 107
# E_tot ... -6.1230 eV per atom
# DOS at the Fermi energy ... 3.51 states/eV/f.u.
# Crystal system ... tetragonal


Record 6
# Y2ScPb2 GGA-PBEsol relaxed
data_Y2ScPb2
_chemical_formula_sum 'Y4 Sc2 Pb4'
_space_group_name_H-M_alt 'P 1'
_space_group_IT_number 1
_cell_length_a 4.442
_cell_length_b 7.775
_cell_length_c 7.775
_cell_angle_alpha 90.00
_cell_angle_beta 90.00
_cell_angle_gamma 90.00
loop_
_space_group_symop_operation_xyz
'x,y,z'
loop_
_atom_site_label
_atom_site_type_symbol
_atom_site_fract_x
_atom_site_fract_y
_atom_site_fract_z
Pb1 Pb 0.000 0.860 0.640
Pb2 Pb 0.000 0.360 0.860
Pb3 Pb 0.000 0.140 0.360
Pb4 Pb 0.000 0.640 0.140
Sc1 Sc 0.000 0.500 0.500
Sc2 Sc 0.000 0.000 0.000
Y1 Y 0.500 0.168 0.668
Y2 Y 0.500 0.332 0.168
Y3 Y 0.500 0.832 0.332
Y4 Y 0.500 0.668 0.832
# Calculated density ... 7.88 Mg/m³
# E above lowest polymorph ... 0 meV per atom
# SG ... No. 127
# E_tot ... -6.1968 eV per atom
# DOS at the Fermi energy ... 4.34 states/eV/f.u.
# Crystal system ... tetragonal


Record 7
# YScPb2 GGA-PBEsol relaxed
data_YScPb2
_chemical_formula_sum 'Y1 Sc1 Pb2'
_space_group_name_H-M_alt 'P 1'
_space_group_IT_number 1
_cell_length_a 4.306
_cell_length_b 4.834
_cell_length_c 4.834
_cell_angle_alpha 90.00
_cell_angle_beta 90.00
_cell_angle_gamma 90.00
loop_
_space_group_symop_operation_xyz
'x,y,z'
loop_
_atom_site_label
_atom_site_type_symbol
_atom_site_fract_x
_atom_site_fract_y
_atom_site_fract_z
Pb1 Pb 0.000 0.000 0.500
Pb2 Pb 0.000 0.500 0.000
Y1 Y 0.500 0.000 0.000
Sc1 Sc 0.500 0.500 0.500
# Calculated density ... 9.05 Mg/m³
# SG ... No. 123
# E_tot ... -5.7995 eV per atom
# DOS at the Fermi energy ... 4.42 states/eV/f.u.
# Crystal system ... tetragonal


Record 8
# YSc2Pb GGA-PBEsol relaxed
data_YSc2Pb
_chemical_formula_sum 'Y1 Sc2 Pb1'
_space_group_name_H-M_alt 'P 1'
_space_group_IT_number 1
_cell_length_a 4.602
_cell_length_b 4.602
_cell_length_c 4.583
_cell_angle_alpha 90.00
_cell_angle_beta 90.00
_cell_angle_gamma 90.00
loop_
_space_group_symop_operation_xyz
'x,y,z'
loop_
_atom_site_label
_atom_site_type_symbol
_atom_site_fract_x
_atom_site_fract_y
_atom_site_fract_z
Y1 Y 0.500 0.500 0.500
Sc1 Sc 0.500 0.000 0.000
Sc2 Sc 0.000 0.500 0.000
Pb1 Pb 0.000 0.000 0.500
# Calculated density ... 6.61 Mg/m³
# SG ... No. 123
# E_tot ... -6.3135 eV per atom
# DOS at the Fermi energy ... 5.45 states/eV/f.u.
# Crystal system ... tetragonal


Record 9
# YScPb2 GGA-PBEsol relaxed
data_YScPb2
_chemical_formula_sum 'Y1 Sc1 Pb2'
_space_group_name_H-M_alt 'P 1'
_space_group_IT_number 1
_cell_length_a 3.628
_cell_length_b 4.994
_cell_length_c 5.983
_cell_angle_alpha 90.00
_cell_angle_beta 104.86
_cell_angle_gamma 90.00
loop_
_space_group_symop_operation_xyz
'x,y,z'
loop_
_atom_site_label
_atom_site_type_symbol
_atom_site_fract_x
_atom_site_fract_y
_atom_site_fract_z
Y1 Y 0.304 0.500 0.868
Sc1 Sc 0.450 0.000 0.382
Pb1 Pb 0.825 0.000 0.897
Pb2 Pb 0.921 0.500 0.352
# Calculated density ... 8.69 Mg/m³
# SG ... No. 6
# E_tot ... -5.7909 eV per atom
# DOS at the Fermi energy ... 2.43 states/eV/f.u.
# Crystal system ... monoclinic


Record 10
# YSc2Pb GGA-PBEsol relaxed
data_YSc2Pb
_chemical_formula_sum 'Y1 Sc2 Pb1'
_space_group_name_H-M_alt 'P 1'
_space_group_IT_number 1
_cell_length_a 4.418
_cell_length_b 4.418
_cell_length_c 5.884
_cell_angle_alpha 112.05
_cell_angle_beta 112.05
_cell_angle_gamma 90.00
loop_
_space_group_symop_operation_xyz
'x,y,z'
loop_
_atom_site_label
_atom_site_type_symbol
_atom_site_fract_x
_atom_site_fract_y
_atom_site_fract_z
Sc1 Sc 0.750 0.250 0.500
Sc2 Sc 0.000 0.000 0.000
Pb1 Pb 0.250 0.750 0.500
Y1 Y 0.500 0.500 0.000
# Calculated density ... 6.59 Mg/m³
# SG ... No. 119
# E_tot ... -6.3147 eV per atom
# DOS at the Fermi energy ... 4.98 states/eV/f.u.
# Crystal system ... tetragonal


Record 11
# Y2ScPb2 GGA-PBEsol relaxed
data_Y2ScPb2
_chemical_formula_sum 'Y2 Sc1 Pb2'
_space_group_name_H-M_alt 'P 1'
_space_group_IT_number 1
_cell_length_a 4.348
_cell_length_b 4.348
_cell_length_c 8.649
_cell_angle_alpha 104.56
_cell_angle_beta 104.56
_cell_angle_gamma 90.00
loop_
_space_group_symop_operation_xyz
'x,y,z'
loop_
_atom_site_label
_atom_site_type_symbol
_atom_site_fract_x
_atom_site_fract_y
_atom_site_fract_z
Y1 Y 0.399 0.399 0.798
Y2 Y 0.601 0.601 0.202
Sc1 Sc 0.000 0.000 0.000
Pb1 Pb 0.750 0.250 0.500
Pb2 Pb 0.250 0.750 0.500
# Calculated density ... 6.92 Mg/m³
# E above lowest polymorph ... 693 meV per atom
# SG ... No. 139
# E_tot ... -5.5038 eV per atom
# DOS at the Fermi energy ... 6.88 states/eV/f.u.
# Crystal system ... tetragonal


Record 12
# YScPb2 GGA-PBEsol relaxed
data_YScPb2
_chemical_formula_sum 'Y1 Sc1 Pb2'
_space_group_name_H-M_alt 'P 1'
_space_group_IT_number 1
_cell_length_a 4.365
_cell_length_b 4.365
_cell_length_c 6.132
_cell_angle_alpha 110.85
_cell_angle_beta 110.85
_cell_angle_gamma 90.00
loop_
_space_group_symop_operation_xyz
'x,y,z'
loop_
_atom_site_label
_atom_site_type_symbol
_atom_site_fract_x
_atom_site_fract_y
_atom_site_fract_z
Y1 Y 0.000 0.000 0.000
Pb1 Pb 0.250 0.750 0.500
Pb2 Pb 0.500 0.500 0.000
Sc1 Sc 0.750 0.250 0.500
# Calculated density ... 9.02 Mg/m³
# SG ... No. 119
# E_tot ... -5.8812 eV per atom
# DOS at the Fermi energy ... 1.47 states/eV/f.u.
# Crystal system ... tetragonal